1.
# La2Er3Sc PBE-GGA optimized geometry
data_La2Er3Sc
_cell_length_a 5.007
_cell_length_b 15.028
_cell_length_c 5.056
_cell_angle_alpha 90.00
_cell_angle_beta 90.00
_cell_angle_gamma 90.00
_symmetry_space_group_name_H-M 'C m m m'
_symmetry_Int_Tables_number 65
_symmetry_space_group_name_Hall '-C 2 2'
loop_
_atom_site_label
_atom_site_type_symbol
_atom_site_fract_x
_atom_site_fract_y
_atom_site_fract_z
La1 La 0.000 0.161 0.000
Er1 Er 0.000 0.000 0.500
Er2 Er 0.000 0.337 0.500
Sc1 Sc 0.000 0.500 0.000
# Calculated formation energy ... 0.06 eV per atom
# Calculated density ... 7.2 Mg/m³

=====

2.
# La2Er6Sc PBE-GGA optimized geometry
data_La2Er6Sc
_cell_length_a 16.377
_cell_length_b 11.520
_cell_length_c 6.031
_cell_angle_alpha 90.00
_cell_angle_beta 97.31
_cell_angle_gamma 90.00
_symmetry_space_group_name_H-M 'C 1 2/c 1'
_symmetry_Int_Tables_number 15
_symmetry_space_group_name_Hall '-C 2yc'
loop_
_atom_site_label
_atom_site_type_symbol
_atom_site_fract_x
_atom_site_fract_y
_atom_site_fract_z
La1 La 0.172 0.107 0.056
Er1 Er 0.049 0.143 0.511
Er2 Er 0.105 0.369 0.829
Er3 Er 0.202 0.364 0.372
Sc1 Sc 0.000 0.396 0.250
# Calculated formation energy ... 0.10 eV per atom
# Calculated density ... 7.8 Mg/m³
# E above lowest polymorph ... 0.0000 eV/atom

=====

3.
# LaErSc6 PBE-GGA optimized geometry
data_LaErSc6
_cell_length_a 6.7960
_cell_length_b 6.7960
_cell_length_c 5.3458
_cell_angle_alpha 90.00
_cell_angle_beta 90.00
_cell_angle_gamma 120.00
_symmetry_space_group_name_H-M 'P -6 m 2'
_symmetry_Int_Tables_number 187
_symmetry_space_group_name_Hall 'P -6 2'
loop_
_atom_site_label
_atom_site_type_symbol
_atom_site_fract_x
_atom_site_fract_y
_atom_site_fract_z
La1 La 0.0000 0.0000 0.0000
Er1 Er 0.6667 0.3333 0.5000
Sc1 Sc 0.0074 0.5037 0.0000
Sc2 Sc 0.1709 0.3418 0.5000
# Calculated formation energy ... 0.04 eV per atom
# Calculated density ... 4.5 Mg/m³

=====

4.
# La5Er6Sc2 PBE-GGA optimized geometry
data_La5Er6Sc2
_cell_length_a 13.772
_cell_length_b 17.193
_cell_length_c 3.643
_cell_angle_alpha 90.00
_cell_angle_beta 90.00
_cell_angle_gamma 90.00
_symmetry_space_group_name_H-M 'P b a m'
_symmetry_Int_Tables_number 55
_symmetry_space_group_name_Hall '-P 2 2ab'
loop_
_atom_site_label
_atom_site_type_symbol
_atom_site_fract_x
_atom_site_fract_y
_atom_site_fract_z
La1 La 0.000 0.000 0.000
La2 La 0.075 0.209 0.000
La3 La 0.113 0.547 0.000
Er1 Er 0.073 0.374 0.500
Er2 Er 0.192 0.060 0.500
Er3 Er 0.214 0.881 0.000
Sc1 Sc 0.156 0.717 0.500
# Calculated formation energy ... 0.19 eV per atom
# Calculated density ... 6.9 Mg/m³

=====

5.
# LaErSc PBE-GGA optimized geometry
data_LaErSc
_cell_length_a 3.538
_cell_length_b 3.538
_cell_length_c 14.655
_cell_angle_alpha 90.00
_cell_angle_beta 90.00
_cell_angle_gamma 90.00
_symmetry_space_group_name_H-M 'I 4 m m'
_symmetry_Int_Tables_number 107
_symmetry_space_group_name_Hall 'I 4 -2'
loop_
_atom_site_label
_atom_site_type_symbol
_atom_site_fract_x
_atom_site_fract_y
_atom_site_fract_z
La1 La 0.000 0.000 0.000
Er1 Er 0.000 0.000 0.680
Sc1 Sc 0.000 0.000 0.335
# Calculated formation energy ... 0.06 eV per atom
# Calculated density ... 6.4 Mg/m³
# E above lowest polymorph ... 0.0126 eV/atom

=====

6.
# La9Er2Sc PBE-GGA optimized geometry
data_La9Er2Sc
_cell_length_a 5.173
_cell_length_b 5.173
_cell_length_c 15.525
_cell_angle_alpha 90.00
_cell_angle_beta 90.00
_cell_angle_gamma 90.00
_symmetry_space_group_name_H-M 'P 4/m m m'
_symmetry_Int_Tables_number 123
_symmetry_space_group_name_Hall '-P 4 2'
loop_
_atom_site_label
_atom_site_type_symbol
_atom_site_fract_x
_atom_site_fract_y
_atom_site_fract_z
La1 La 0.000 0.000 0.000
La2 La 0.000 0.000 0.332
La3 La 0.000 0.500 0.163
La4 La 0.000 0.500 0.500
Er1 Er 0.500 0.500 0.331
Sc1 Sc 0.500 0.500 0.000
# Calculated formation energy ... 0.02 eV per atom
# Calculated density ... 6.5 Mg/m³

=====

7.
# La15Er4Sc PBE-GGA optimized geometry
data_La15Er4Sc
_cell_length_a 5.176
_cell_length_b 5.176
_cell_length_c 25.880
_cell_angle_alpha 90.00
_cell_angle_beta 90.00
_cell_angle_gamma 90.00
_symmetry_space_group_name_H-M 'P 4/m m m'
_symmetry_Int_Tables_number 123
_symmetry_space_group_name_Hall '-P 4 2'
loop_
_atom_site_label
_atom_site_type_symbol
_atom_site_fract_x
_atom_site_fract_y
_atom_site_fract_z
La1 La 0.000 0.000 0.000
La2 La 0.000 0.000 0.198
La3 La 0.000 0.000 0.399
La4 La 0.000 0.500 0.098
La5 La 0.000 0.500 0.299
La6 La 0.000 0.500 0.500
Er1 Er 0.500 0.500 0.198
Er2 Er 0.500 0.500 0.399
Sc1 Sc 0.500 0.500 0.000
# Calculated formation energy ... 0.01 eV per atom
# Calculated density ... 6.7 Mg/m³

=====

8.
# La4Er5Sc PBE-GGA optimized geometry
data_La4Er5Sc
_cell_length_a 16.992
_cell_length_b 3.503
_cell_length_c 11.280
_cell_angle_alpha 90.00
_cell_angle_beta 92.07
_cell_angle_gamma 90.00
_symmetry_space_group_name_H-M 'C 1 2/m 1'
_symmetry_Int_Tables_number 12
_symmetry_space_group_name_Hall '-C 2y'
loop_
_atom_site_label
_atom_site_type_symbol
_atom_site_fract_x
_atom_site_fract_y
_atom_site_fract_z
La1 La 0.028 0.000 0.243
La2 La 0.169 0.500 0.746
Er1 Er 0.000 0.500 0.500
Er2 Er 0.168 0.000 0.040
Er3 Er 0.172 0.000 0.448
Sc1 Sc 0.000 0.500 0.000
# Calculated formation energy ... 0.19 eV per atom
# Calculated density ... 7.1 Mg/m³
# E above lowest polymorph ... 0.0000 eV/atom

=====

9.
# LaEr2Sc2 PBE-GGA optimized geometry
data_LaEr2Sc2
_cell_length_a 10.927
_cell_length_b 4.894
_cell_length_c 10.929
_cell_angle_alpha 90.00
_cell_angle_beta 90.22
_cell_angle_gamma 90.00
_symmetry_space_group_name_H-M 'C 1 2/m 1'
_symmetry_Int_Tables_number 12
_symmetry_space_group_name_Hall '-C 2y'
loop_
_atom_site_label
_atom_site_type_symbol
_atom_site_fract_x
_atom_site_fract_y
_atom_site_fract_z
La1 La 0.247 0.000 0.246
Er1 Er 0.051 0.000 0.854
Er2 Er 0.147 0.000 0.550
Sc1 Sc 0.050 0.500 0.351
Sc2 Sc 0.148 0.500 0.050
# Calculated formation energy ... 0.07 eV per atom
# Calculated density ... 6.4 Mg/m³
# E above lowest polymorph ... 0.0000 eV/atom

=====

10.
# La2Er12Sc PBE-GGA optimized geometry
data_La2Er12Sc
_cell_length_a 6.462
_cell_length_b 6.462
_cell_length_c 24.102
_cell_angle_alpha 90.00
_cell_angle_beta 90.00
_cell_angle_gamma 90.00
_symmetry_space_group_name_H-M 'P 4/n b m'
_symmetry_Int_Tables_number 125
loop_
_symmetry_equiv_pos_as_xyz
'x,y,z'
'-x,-y,-z'
'-y+1/2,x,z'
'y+1/2,-x,-z'
'-x+1/2,-y+1/2,z'
'x+1/2,y+1/2,-z'
'y,-x+1/2,z'
'-y,x+1/2,-z'
'x,-y+1/2,-z'
'-x,y+1/2,z'
'-y+1/2,-x+1/2,-z'
'y+1/2,x+1/2,z'
'-x+1/2,y,-z'
'x+1/2,-y,z'
'y,x,-z'
'-y,-x,z'
loop_
_atom_site_label
_atom_site_type_symbol
_atom_site_fract_x
_atom_site_fract_y
_atom_site_fract_z
La1 La 0.250 0.750 0.241
Er1 Er 0.001 0.501 0.396
Er2 Er 0.081 0.581 0.938
Er3 Er 0.250 0.250 0.163
Er4 Er 0.250 0.250 0.294
Sc1 Sc 0.250 0.750 0.500
# Calculated formation energy ... 0.38 eV per atom
# Calculated density ... 7.7 Mg/m³

=====

11.
# LaEr4Sc3 PBE-GGA optimized geometry
data_LaEr4Sc3
_cell_length_a 3.369
_cell_length_b 8.582
_cell_length_c 8.582
_cell_angle_alpha 81.28
_cell_angle_beta 78.75
_cell_angle_gamma 78.89
_symmetry_space_group_name_H-M 'P -1'
_symmetry_Int_Tables_number 2
_symmetry_space_group_name_Hall '-P 1'
loop_
_atom_site_label
_atom_site_type_symbol
_atom_site_fract_x
_atom_site_fract_y
_atom_site_fract_z
La1 La 0.000 0.000 0.000
Er1 Er 0.362 0.397 0.875
Er2 Er 0.362 0.875 0.397
Sc1 Sc 0.237 0.264 0.264
Sc2 Sc 0.500 0.500 0.500
# Calculated formation energy ... 0.13 eV per atom
# Calculated density ... 6.6 Mg/m³

=====

12.
# La5Er2Sc PBE-GGA optimized geometry
data_La5Er2Sc
_cell_length_a 7.265
_cell_length_b 7.265
_cell_length_c 10.132
_cell_angle_alpha 90.00
_cell_angle_beta 90.00
_cell_angle_gamma 90.00
_symmetry_space_group_name_H-M 'I 4/m m m'
_symmetry_Int_Tables_number 139
_symmetry_space_group_name_Hall '-I 4 2'
loop_
_atom_site_label
_atom_site_type_symbol
_atom_site_fract_x
_atom_site_fract_y
_atom_site_fract_z
La1 La 0.000 0.000 0.000
La2 La 0.250 0.250 0.250
Er1 Er 0.000 0.500 0.000
Sc1 Sc 0.000 0.000 0.500
# Calculated formation energy ... 0.03 eV per atom
# Calculated density ... 6.7 Mg/m³

=====

Number 1: total moment 0.001 μB per atom. Number 2: total moment 0.000 μB per atom. Number 3: total moment 0.098 μB per atom. Number 4: total moment 0.000 μB per atom. Number 5: total moment 0.000 μB per atom. Number 6: total moment 0.000 μB per atom. Number 7: total moment 0.000 μB per atom. Number 8: total moment 0.000 μB per atom. Number 9: total moment 0.000 μB per atom. Number 10: total moment 0.000 μB per atom. Number 11: total moment 0.000 μB per atom. Number 12: total moment 0.000 μB per atom.